Record 1
10
Lattice="7.3992 0.0000 0.0000 0.0000 7.3992 0.0000 0.0000 0.0000 3.7670" Properties=species:S:1:pos:R:3 comment="Nd2InNi2 | the Alexandria database | GGA-PBEsol | relaxed" n_ef_per_ev_atom=0.64 formation_enthalpy_0k_ev_per_atom=-0.437 pbc="T T T"
Nd 1.3078 2.3919 0.0000
Nd 2.3919 6.0915 0.0000
Nd 5.0074 1.3078 0.0000
Nd 6.0915 5.0074 0.0000
In 0.0000 0.0000 1.8835
In 3.6996 3.6996 1.8835
Ni 0.8757 4.5753 1.8835
Ni 2.8239 0.8757 1.8835
Ni 4.5753 6.5235 1.8835
Ni 6.5235 2.8239 1.8835

=====

Record 2
4
Lattice="0.0000 3.2718 3.2718 3.2718 0.0000 3.2718 3.2718 3.2718 0.0000" Properties=species:S:1:pos:R:3 comment="NbCd2Pt | the Alexandria database | GGA-PBEsol | relaxed" n_ef_per_ev_atom=1.09 formation_enthalpy_0k_ev_per_atom=0.134 pbc="T T T"
Nb 0.0000 0.0000 0.0000
Cd 1.6359 1.6359 1.6359
Cd 4.9077 4.9077 4.9077
Pt 3.2718 3.2718 3.2718

=====

Record 3
5
Lattice="4.5663 0.0000 0.0000 0.0000 4.5663 0.0000 0.0000 0.0000 4.5663" Properties=species:S:1:pos:R:3 comment="CaGeIr3 | the Alexandria database | GGA-PBEsol | relaxed" n_ef_per_ev_atom=0.82 formation_enthalpy_0k_ev_per_atom=0.459 pbc="T T T"
Ca 0.0000 0.0000 0.0000
Ge 2.2831 2.2831 2.2831
Ir 0.0000 2.2831 2.2831
Ir 2.2831 0.0000 2.2831
Ir 2.2831 2.2831 0.0000

=====

Record 4
4
Lattice="3.5687 0.0000 0.0000 0.0000 3.5687 0.0000 0.0000 0.0000 7.4267" Properties=species:S:1:pos:R:3 comment="Y2AlHg | the Alexandria database | GGA-PBEsol | relaxed" n_ef_per_ev_atom=0.61 formation_enthalpy_0k_ev_per_atom=-0.519 e_above_lowest_polymorph_kj_per_mol_atoms=0.0 pbc="T T T"
Y 0.0000 0.0000 1.8173
Y 0.0000 0.0000 5.6093
Al 1.7843 1.7843 0.0000
Hg 1.7843 1.7843 3.7133

=====

Record 5
4
Lattice="-2.1010 2.1010 5.3422 2.1010 -2.1010 5.3422 2.1010 2.1010 -5.3422" Properties=species:S:1:pos:R:3 comment="K2BeFe | the Alexandria database | GGA-PBEsol | relaxed" n_ef_per_ev_atom=0.59 formation_enthalpy_0k_ev_per_atom=1.368 pbc="T T T"
K 2.1010 0.0000 2.6711
K 0.0000 2.1010 2.6711
Be 0.0000 0.0000 0.0000
Fe 0.0000 0.0000 5.3422

=====

Record 6
4
Lattice="0.0000 2.9243 2.9243 2.9243 0.0000 2.9243 2.9243 2.9243 0.0000" Properties=species:S:1:pos:R:3 comment="Cr2CI | the Alexandria database | GGA-PBEsol | relaxed" n_ef_per_ev_atom=0.90 formation_energy_uncorrected_ev_per_atom=1.467 pbc="T T T"
Cr 1.4622 1.4622 1.4622
Cr 4.3865 4.3865 4.3865
C 0.0000 0.0000 0.0000
I 2.9243 2.9243 2.9243

=====

Record 7
5
Lattice="4.5894 0.0000 0.0000 0.0000 4.5894 0.0000 0.0000 0.0000 4.5894" Properties=species:S:1:pos:R:3 comment="CuSi3Bi | the Alexandria database | GGA-PBEsol | relaxed" n_ef_per_ev_atom=0.50 formation_energy_uncorrected_ev_per_atom=0.573 pbc="T T T"
Cu 0.0000 0.0000 0.0000
Si 0.0000 0.0000 2.2947
Si 0.0000 2.2947 0.0000
Si 2.2947 0.0000 0.0000
Bi 2.2947 2.2947 2.2947

=====

Record 8
10
Lattice="6.3967 0.0000 0.0000 0.0000 6.3967 0.0000 0.0000 0.0000 2.6008" Properties=species:S:1:pos:R:3 comment="AlZn2H2 | the Alexandria database | GGA-PBEsol | relaxed" n_ef_per_ev_atom=0.26 total_energy_ev_per_atom=-2.318 pbc="T T T"
Al 0.0000 0.0000 0.0000
Al 3.1984 3.1984 0.0000
Zn 0.9166 2.2818 1.3004
Zn 2.2818 5.4801 1.3004
Zn 4.1149 0.9166 1.3004
Zn 5.4801 4.1149 1.3004
H 0.7856 3.9840 0.0000
H 2.4127 0.7856 0.0000
H 3.9840 5.6111 0.0000
H 5.6111 2.4127 0.0000

=====

Record 9
5
Lattice="4.6511 0.0000 0.0000 0.0000 4.6511 0.0000 0.0000 0.0000 4.6511" Properties=species:S:1:pos:R:3 comment="PRhSe3 | the Alexandria database | GGA-PBEsol | relaxed" n_ef_per_ev_atom=1.09 formation_energy_uncorrected_ev_per_atom=0.883 pbc="T T T"
P 0.0000 0.0000 0.0000
Rh 2.3255 2.3255 2.3255
Se 0.0000 0.0000 2.3255
Se 0.0000 2.3255 0.0000
Se 2.3255 0.0000 0.0000

=====

Record 10
3
Lattice="-1.3343 1.3343 6.0448 1.3343 -1.3343 6.0448 1.3343 1.3343 -6.0448" Properties=species:S:1:pos:R:3 comment="TaNiMo | the Alexandria database | GGA-PBEsol | relaxed" n_ef_per_ev_atom=0.78 formation_enthalpy_0k_ev_per_atom=-0.043 e_above_lowest_polymorph_kj_per_mol_atoms=0.0 pbc="T T T"
Ta 0.0000 0.0000 0.0000
Ni 0.0000 0.0000 4.1255
Mo 0.0000 0.0000 8.3556

=====

Record 11
10
Lattice="0.0000 5.5898 5.5898 5.5898 0.0000 5.5898 5.5898 5.5898 0.0000" Properties=species:S:1:pos:R:3 comment="Cs2AgBiBr6 | the Alexandria database | GGA-PBEsol | relaxed" formation_energy_uncorrected_ev_per_atom=-1.113 pbc="T T T"
Cs 2.7949 2.7949 2.7949
Cs 8.3846 8.3846 8.3846
Ag 0.0000 0.0000 0.0000
Bi 5.5898 5.5898 5.5898
Br 5.5898 5.5898 2.7500
Br 5.5898 2.7500 5.5898
Br 8.4295 5.5898 5.5898
Br 2.7500 5.5898 5.5898
Br 5.5898 8.4295 5.5898
Br 5.5898 5.5898 8.4295

=====

Record 12
6
Lattice="3.8419 0.0000 0.0000 0.0000 3.8419 0.0000 0.0000 0.0000 8.3939" Properties=species:S:1:pos:R:3 comment="HfGeTe | the Alexandria database | GGA-PBEsol | relaxed" n_ef_per_ev_atom=0.18 formation_energy_uncorrected_ev_per_atom=-0.744 pbc="T T T"
Hf 0.9605 0.9605 2.0788
Hf 2.8814 2.8814 6.3152
Ge 0.9605 2.8814 0.0000
Ge 2.8814 0.9605 0.0000
Te 0.9605 0.9605 5.2034
Te 2.8814 2.8814 3.1905

=====

Number 1: M_tot 0.0 μB per cell. Number 2: M_tot 1.0 μB per cell. Number 3: M_tot 0.0 μB per cell. Number 4: M_tot 0.0 μB per cell. Number 5: M_tot 2.3 μB per cell. Number 6: M_tot 2.2 μB per cell. Number 7: M_tot 0.0 μB per cell. Number 8: M_tot 0.0 μB per cell. Number 9: M_tot 1.0 μB per cell. Number 10: M_tot 0.0 μB per cell. Number 11: M_tot 0.0 μB per cell. Number 12: M_tot 0.0 μB per cell.